# CsRbVF4

CsRbVF4 after structural relaxation (PBE+U, Alexandria via LeMat-Bulk).

The structure in POSCAR format:
```
CsRbVF4
1.0
4.304 0.000 0.000
0.000 4.304 0.000
-2.152 -2.152 7.282
F V Rb Cs
4 1 1 1
Cartesian
0.000 0.000 2.130
2.152 2.152 5.146
0.000 2.152 0.054
2.152 0.000 0.054
0.000 0.000 0.011
2.152 2.152 2.086
0.000 0.000 5.083
```

Calculated values
- symmetry = I4mm, No. 107
- total energy (eV per cell) = -35.9
- M_tot (μB per atom) = 0.429